First-principles (PBE+U) data for Ca2CoO after structural relaxation, as listed in the Alexandria database.

Output
calculated volume: 24.1 Å³/atom
E_tot: -4.453 eV per atom
Fermi-level density of states: 4.8 states/eV/cell
total magnetic moment: 4.1 Bohr magnetons per cell
space-group type: I-42d

Unit cell a=6.6730 b=6.6730 c=6.4075 alpha=58.62 beta=58.62 gamma=90.00
Last column: nearest neighbours and their distance in Å.
Atoms (fractional coordinates):
Ca 0.2254 0.6250 0.2500  2 O 2.23
O 0.5000 0.5000 0.0000  4 Ca 2.23
Co 0.7500 0.2500 0.5000  4 Ca 3.07
Co 0.0000 0.0000 0.0000  4 Ca 3.07
O 0.2500 0.7500 0.5000  4 Ca 2.23
Ca 0.5246 0.1250 0.2500  2 O 2.23
Ca 0.8750 0.7746 0.7500  2 O 2.23
Ca 0.3750 0.4754 0.7500  2 O 2.23